[1]
A relaxed InPRh2 crystal. Source: Alexandria, functional PBE.

Summary:
* density: 9.44 g/cm3
* DOS(E_F): 2.7 states/eV/cell
* formation energy: -0.15 eV/atom

Cell lengths 4.481, 4.481, 3.094 Å; angles 90.00, 90.00, 95.69 degrees
Atoms (fractional coordinates):
P 0.500 0.500 0.500
Rh 0.000 0.500 0.000
Rh 0.500 0.000 0.000
In 0.000 0.000 0.500



[2]
A relaxed NaMgRuCl6 crystal. Source: Alexandria, functional PBE.

Summary:
* raw formation energy: -1.22 eV per atom
* density: 2.77 g/cm3
* DOS(E_F): 17.0 states/eV/cell

Cell lengths 6.335, 6.335, 12.450 Å; angles 90.00, 90.00, 120.00 degrees
Atoms (fractional coordinates):
Cl 0.984 0.631 0.360
Cl 0.016 0.647 0.860
Cl 0.631 0.647 0.640
Cl 0.353 0.369 0.860
Cl 0.647 0.631 0.140
Cl 0.647 0.016 0.360
Cl 0.369 0.016 0.140
Cl 0.369 0.353 0.360
Cl 0.631 0.984 0.860
Cl 0.353 0.984 0.640
Cl 0.984 0.353 0.140
Cl 0.016 0.369 0.640
Ru 0.667 0.333 0.250
Ru 0.333 0.667 0.750
Mg 0.333 0.667 0.250
Mg 0.667 0.333 0.750
Na 0.000 0.000 0.500
Na 0.000 0.000 0.000



[3]
A relaxed Tl4IN12 crystal. Source: Alexandria, functional PBE.

Summary:
* raw formation energy: 0.25 eV per atom
* density: 3.87 g/cm3
* DOS(E_F): 15.7 states/eV/cell

Cell lengths 8.528, 8.528, 8.528 Å; angles 109.47, 109.47, 109.47 degrees
Atoms (fractional coordinates):
N 0.648 0.590 0.942
N 0.058 0.352 0.410
N 0.942 0.648 0.590
N 0.410 0.058 0.352
N 0.352 0.410 0.058
N 0.705 0.058 0.648
N 0.295 0.942 0.352
N 0.648 0.705 0.058
N 0.942 0.352 0.295
N 0.590 0.942 0.648
N 0.352 0.295 0.942
N 0.058 0.648 0.705
Tl 0.000 0.000 0.500
Tl 0.500 0.500 0.500
Tl 0.000 0.500 0.000
Tl 0.500 0.000 0.000
I 0.000 0.000 0.000



[4]
A relaxed SiS2F crystal. Source: Alexandria, functional PBE.

Summary:
* raw formation energy: -0.46 eV per atom
* density: 2.87 g/cm3
* DOS(E_F): 1.3 states/eV/cell
* energy above the lowest structure with this stoichiometry: 0.0000 eV/atom

Cell lengths 7.192, 7.192, 7.192 Å; angles 26.31, 26.31, 26.31 degrees
Atoms (fractional coordinates):
F 0.000 0.000 0.000
S 0.897 0.897 0.897
S 0.103 0.103 0.103
Si 0.500 0.500 0.500



[5]
A relaxed Pm3HoEr6Tm2 crystal. Source: Alexandria, functional PBE.

Summary:
* density: 8.57 g/cm3
* DOS(E_F): 16.4 states/eV/cell
* formation energy: 0.02 eV/atom

Cell lengths 6.136, 6.136, 11.708 Å; angles 95.01, 95.01, 119.95 degrees
Atoms (fractional coordinates):
Pm 0.500 0.500 0.500
Pm 0.833 0.167 0.500
Pm 0.167 0.833 0.500
Er 0.415 0.082 0.246
Er 0.082 0.415 0.246
Er 0.748 0.748 0.246
Er 0.918 0.585 0.754
Er 0.252 0.252 0.754
Er 0.585 0.918 0.754
Ho 0.000 0.000 0.000
Tm 0.667 0.333 0.000
Tm 0.333 0.667 0.000



[6]
A relaxed Y2Tl2In crystal. Source: Alexandria, functional PBE.

Summary:
* density: 8.44 g/cm3
* DOS(E_F): 7.0 states/eV/cell
* energy above the lowest structure with this stoichiometry: 0.0000 eV/atom
* formation energy: -0.32 eV/atom

Cell lengths 7.733, 7.733, 4.614 Å; angles 90.00, 90.00, 90.00 degrees
Atoms (fractional coordinates):
Tl 0.136 0.364 0.000
Tl 0.864 0.636 0.000
Tl 0.636 0.136 0.000
Tl 0.364 0.864 0.000
Y 0.831 0.331 0.500
Y 0.331 0.169 0.500
Y 0.169 0.669 0.500
Y 0.669 0.831 0.500
In 0.500 0.500 0.000
In 0.000 0.000 0.000



[7]
A relaxed SiP2RuN crystal. Source: Alexandria, functional PBE.

Summary:
* raw formation energy: -0.31 eV per atom
* density: 5.00 g/cm3
* DOS(E_F): 1.4 states/eV/cell
* energy above the lowest structure with this stoichiometry: 0.0162 eV/atom

Cell lengths 3.212, 3.212, 7.622 Å; angles 90.00, 90.00, 120.00 degrees
Atoms (fractional coordinates):
Ru 0.000 0.000 0.000
Si 0.333 0.667 0.500
N 0.667 0.333 0.500
P 0.333 0.667 0.189
P 0.333 0.667 0.811



[8]
A relaxed HfZr2Cd crystal. Source: Alexandria, functional PBE.

Summary:
* density: 8.37 g/cm3
* DOS(E_F): 9.4 states/eV/cell
* formation energy: 0.42 eV/atom

Cell lengths 4.209, 4.209, 11.011 Å; angles 78.98, 78.98, 90.00 degrees
Atoms (fractional coordinates):
Cd 0.500 0.500 0.000
Cd 0.250 0.750 0.500
Hf 0.000 0.000 0.000
Hf 0.750 0.250 0.500
Zr 0.122 0.625 0.250
Zr 0.628 0.125 0.250
Zr 0.875 0.878 0.750
Zr 0.375 0.372 0.750



[9]
A relaxed TlBN2O crystal. Source: Alexandria, functional PBE.

Summary:
* raw formation energy: 0.71 eV per atom
* density: 7.29 g/cm3
* DOS(E_F): 1.0 states/eV/cell

Cell lengths 3.170, 3.170, 5.875 Å; angles 90.00, 90.00, 90.00 degrees
Atoms (fractional coordinates):
B 0.000 0.000 0.000
N 0.500 0.000 0.000
N 0.000 0.500 0.000
O 0.000 0.000 0.500
Tl 0.500 0.500 0.500



[10]
A relaxed BAuI3 crystal. Source: Alexandria, functional PBE.

Summary:
* raw formation energy: 1.05 eV per atom
* density: 5.38 g/cm3
* DOS(E_F): 1.1 states/eV/cell
* energy above the lowest structure with this stoichiometry: 0.1482 eV/atom

Cell lengths 5.664, 5.664, 5.664 Å; angles 90.00, 90.00, 90.00 degrees
Atoms (fractional coordinates):
B 0.500 0.500 0.500
I 0.500 0.000 0.000
I 0.000 0.500 0.000
I 0.000 0.000 0.500
Au 0.000 0.000 0.000



[11]
A relaxed AcCuP crystal. Source: Alexandria, functional PBE.

Summary:
* density: 7.82 g/cm3
* DOS(E_F): 2.3 states/eV/cell
* energy above the lowest structure with this stoichiometry: 0.0537 eV/atom
* formation energy: -0.83 eV/atom

Cell lengths 4.081, 6.134, 6.135 Å; angles 82.30, 70.58, 70.58 degrees
Atoms (fractional coordinates):
Cu 0.846 0.154 0.154
Cu 0.154 0.846 0.846
Ac 0.500 0.736 0.264
Ac 0.500 0.264 0.736
P 0.788 0.712 0.712
P 0.212 0.288 0.288



[12]
A relaxed Ca2YCu crystal. Source: Alexandria, functional PBE.

Summary:
* density: 3.38 g/cm3
* DOS(E_F): 3.3 states/eV/cell
* energy above the lowest structure with this stoichiometry: 0.2438 eV/atom
* formation energy: 0.19 eV/atom

Cell lengths 4.612, 4.612, 5.374 Å; angles 90.00, 90.00, 90.01 degrees
Atoms (fractional coordinates):
Ca 0.500 0.500 0.000
Ca 0.000 0.000 0.000
Y 0.000 0.500 0.500
Cu 0.500 0.000 0.500



- Number 8 is which compound?
  HfZr2Cd



- Among the records above, which one has the highest DOS(E_F)?
  NaMgRuCl6



What did the eleventh record say?
A relaxed AcCuP crystal. Source: Alexandria, functional PBE.

Summary:
* density: 7.82 g/cm3
* DOS(E_F): 2.3 states/eV/cell
* energy above the lowest structure with this stoichiometry: 0.0537 eV/atom
* formation energy: -0.83 eV/atom

Cell lengths 4.081, 6.134, 6.135 Å; angles 82.30, 70.58, 70.58 degrees
Atoms (fractional coordinates):
Cu 0.846 0.154 0.154
Cu 0.154 0.846 0.846
Ac 0.500 0.736 0.264
Ac 0.500 0.264 0.736
P 0.788 0.712 0.712
P 0.212 0.288 0.288